No. 1
Here is La8Sm3Y2 after structural relaxation from Alexandria. Energies are from GGA-PBE.

Lattice parameters (Å, degrees): 5.9129 7.7368 11.0601 110.48 89.99 90.00
Last column: nearest neighbours and their distance in Å.
Positions (direct):
1 La 0.5008 0.8079 0.2104  1 La 3.14, 1 Sm 3.17
2 La 0.0009 0.1339 0.2678  2 Sm 3.53, 2 Y 3.70, 4 La 3.79
3 La 0.0003 0.6739 0.3478  2 Y 3.44, 4 La 3.63-3.64
4 La 0.5008 0.4024 0.2104  1 La 3.14, 1 Sm 3.17
5 La 0.9997 0.3261 0.6522  2 Y 3.44, 4 La 3.63-3.64
6 La 0.4992 0.5976 0.7896  1 La 3.14, 1 Sm 3.17
7 La 0.4992 0.1921 0.7896  1 La 3.14, 1 Sm 3.17
8 La 0.9991 0.8661 0.7322  2 Sm 3.53, 2 Y 3.70, 4 La 3.79
9 Y 0.5003 0.2413 0.4824  8 La 3.44-3.70
10 Y 0.4997 0.7587 0.5176  8 La 3.44-3.70
11 Sm 0.0000 0.2814 0.0000  3 Sm 3.38-3.67, 6 La 3.53-3.68
12 Sm 0.5000 0.0000 0.0000  4 La 3.17
13 Sm 0.0000 0.7186 0.0000  3 Sm 3.38-3.67, 6 La 3.53-3.68

Values from the calculation:
ΔE_f, eV/atom: 0.1801



No. 2
Here is MgRhW after structural relaxation from Alexandria. Energies are from GGA-PBE.

Lattice parameters (Å, degrees): 6.0292 6.0293 2.8983 76.09 76.09 27.82
Last column: nearest neighbours and their distance in Å.
Positions (direct):
1 W 0.3210 0.3209 0.6790  4 Rh 2.66, 4 W 2.90, 4 Mg 2.95
2 Mg 0.0081 0.0083 0.9919  4 Rh 2.76, 4 Mg 2.90, 4 W 2.95
3 Rh 0.6708 0.6707 0.3292  4 W 2.66, 4 Mg 2.76, 4 Rh 2.90

Values from the calculation:
ΔE_f, eV/atom: -0.0196



No. 3
Here is SnN2Cl after structural relaxation from Alexandria. Energies are from GGA-PBE.

Lattice parameters (Å, degrees): 6.3661 6.3661 6.3661 30.82 30.82 30.82
Last column: nearest neighbours and their distance in Å.
Positions (direct):
1 Sn 0.5000 0.5000 0.5000  6 N 2.23
2 N 0.1078 0.1078 0.1078  1 Cl 1.96
3 N 0.8922 0.8922 0.8922  1 Cl 1.96
4 Cl 0.0000 0.0000 0.0000  2 N 1.96

Values from the calculation:
E_form (uncorrected), eV/atom: 0.754



No. 4
Here is Sr3Ag4Sn4 after structural relaxation from Alexandria. Energies are from GGA-PBE.

Lattice parameters (Å, degrees): 4.8440 7.6705 9.1544 114.77 105.34 90.00
Last column: nearest neighbours and their distance in Å.
Positions (direct):
1 Sn 0.5000 0.1871 0.0000  2 Ag 2.86, 1 Sn 2.87
2 Sn 0.7811 0.2811 0.5623  6 Ag 2.93-2.97
3 Sn 0.2189 0.7189 0.4377  6 Ag 2.93-2.97
4 Sn 0.5000 0.8129 0.0000  2 Ag 2.86, 1 Sn 2.87
5 Sr 0.0000 0.5000 0.0000  6 Sn 3.41-3.48
6 Sr 0.8698 0.8698 0.7396  6 Sn 3.41-3.49, 6 Ag 3.45-3.50
7 Sr 0.1302 0.1302 0.2604  6 Sn 3.41-3.49, 6 Ag 3.45-3.50
8 Ag 0.3304 0.1405 0.6609  4 Sn 2.86-2.97, 1 Ag 2.91
9 Ag 0.6696 0.4797 0.3391  4 Sn 2.86-2.97, 1 Ag 2.91
10 Ag 0.6696 0.8595 0.3391  4 Sn 2.86-2.97, 1 Ag 2.91
11 Ag 0.3304 0.5203 0.6609  4 Sn 2.86-2.97, 1 Ag 2.91

Values from the calculation:
ΔE_f, eV/atom: -0.4217



No. 5
Here is Tm3Bi4Au3 after structural relaxation from Alexandria. Energies are from GGA-PBE.

Lattice parameters (Å, degrees): 8.7592 8.7592 8.7592 109.47 109.47 109.47
Last column: nearest neighbours and their distance in Å.
Positions (direct):
1 Au 0.7500 0.1250 0.8750  4 Bi 2.88, 4 Tm 3.10
2 Au 0.1250 0.7500 0.3750  4 Bi 2.88, 4 Tm 3.10
3 Au 0.3750 0.2500 0.1250  4 Bi 2.88, 4 Tm 3.10
4 Au 0.2500 0.3750 0.6250  4 Bi 2.88, 4 Tm 3.10
5 Au 0.6250 0.8750 0.2500  4 Bi 2.88, 4 Tm 3.10
6 Au 0.8750 0.6250 0.7500  4 Bi 2.88, 4 Tm 3.10
7 Tm 0.1250 0.3750 0.2500  4 Au 3.10, 4 Bi 3.39
8 Tm 0.3750 0.1250 0.7500  4 Au 3.10, 4 Bi 3.39
9 Tm 0.7500 0.6250 0.3750  4 Au 3.10, 4 Bi 3.39
10 Tm 0.8750 0.2500 0.6250  4 Au 3.10, 4 Bi 3.39
11 Tm 0.6250 0.7500 0.8750  4 Au 3.10, 4 Bi 3.39
12 Tm 0.2500 0.8750 0.1250  4 Au 3.10, 4 Bi 3.39
13 Bi 0.8127 0.5000 0.0000  3 Au 2.88
14 Bi 0.5000 0.8127 0.5000  3 Au 2.88
15 Bi 0.0000 0.0000 0.3127  3 Au 2.88
16 Bi 0.1873 0.6873 0.6873  3 Au 2.88
17 Bi 0.5000 0.3127 0.5000  3 Au 2.88
18 Bi 0.0000 0.0000 0.8127  3 Au 2.88
19 Bi 0.6873 0.1873 0.1873  3 Au 2.88
20 Bi 0.3127 0.5000 0.0000  3 Au 2.88

Values from the calculation:
ΔE_f, eV/atom: -0.5936



No. 6
Here is Be2PO after structural relaxation from Alexandria. Energies are from GGA-PBE.

Lattice parameters (Å, degrees): 4.5071 4.5071 5.2689 64.68 64.68 90.00
Last column: nearest neighbours and their distance in Å.
Positions (direct):
1 O 0.2500 0.7500 0.5000  4 Be 1.69
2 O 0.5000 0.5000 0.0000  4 Be 1.69
3 Be 0.3750 0.4692 0.7500  2 O 1.69
4 Be 0.2192 0.6250 0.2500  2 O 1.69
5 Be 0.8750 0.7808 0.7500  2 O 1.69
6 Be 0.5308 0.1250 0.2500  2 O 1.69
7 P 0.0000 0.0000 0.0000  4 Be 2.19
8 P 0.7500 0.2500 0.5000  4 Be 2.19

Values from the calculation:
E_form (uncorrected), eV/atom: -1.080



Number 1: total magnetization 0.000 μB per atom. Number 2: total magnetization 0.000 μB per atom. Number 3: total magnetization 0.214 μB per atom. Number 4: total magnetization 0.000 μB per atom. Number 5: total magnetization 0.000 μB per atom. Number 6: total magnetization 0.000 μB per atom.